Tb3Te2H2 | PBE | relaxed

Structure (extended XYZ):
```
7
Lattice="8.578 -2.249 0.000 8.578 2.249 0.000 -0.956 0.000 3.941" Properties=species:S:1:pos:R:3 pbc="T T T"
Tb 0.000 0.000 0.000
Tb 6.141 0.000 1.498
Tb 10.060 0.000 2.443
Te 2.903 0.000 0.701
Te 13.298 0.000 3.240
H 8.100 1.118 1.971
H 8.100 -1.118 1.971
```

Values from the calculation:
Uncorrected energy in eV per atom: -4.818
D(E_F) in states/eV/atom: 0.545
Calculated volume in Å³ per cell: 152.05
ρ in kg/m3: 8016
Magnetic moment in μB per cell: 0.000